DFT (PBE) results for Ce4Pr2Te3H2 after structural relaxation.

Unit cell a=14.0005 b=14.0005 c=14.0005 alpha=161.43 beta=161.43 gamma=26.38
Closest atoms and distances in Å follow each position.
Element x y z (fractional)
Ce 0.0856 0.5856 0.5000  2 H 2.32
Ce 0.4144 0.9144 0.5000  2 H 2.32
Ce 0.5856 0.0856 0.5000  2 H 2.32
Ce 0.9144 0.4144 0.5000  2 H 2.32
Pr 0.2040 0.2040 0.0000  5 Te 3.29-3.30
Pr 0.7960 0.7960 0.0000  5 Te 3.29-3.30
Te 0.3249 0.3249 0.0000  5 Pr 3.29-3.30, 4 Ce 3.33
Te 0.5000 0.5000 0.0000  8 Ce 3.25
Te 0.6751 0.6751 0.0000  5 Pr 3.29-3.30, 4 Ce 3.33
H 0.0670 0.0670 0.0000  4 Ce 2.32
H 0.9330 0.9330 0.0000  4 Ce 2.32

Calculated values
Its space-group type is I4/mmm, No. 139. Its crystal system is tetragonal.

=====

DFT (PBE) results for CeH2Pt after structural relaxation.

Unit cell a=4.4008 b=4.4008 c=4.4008 alpha=58.44 beta=58.44 gamma=58.44
Closest atoms and distances in Å follow each position.
Element x y z (fractional)
Ce 0.0000 0.0000 0.0000  6 H 2.48
H 0.3455 0.3455 0.3455  1 Pt 1.68
H 0.6545 0.6545 0.6545  1 Pt 1.68
Pt 0.5000 0.5000 0.5000  2 H 1.68

Calculated values
Its space-group type is R-3m, No. 166. The distance to the lowest polymorph of the same formula comes out at 43 meV per atom. Its crystal system is trigonal.

=====

Respective calculated total energy values: -5.2995, -5.2827 eV per atom.
Respective size of the total moment values: 3.72, 1.05 μB per formula unit.